Computed, not measured: CdMoOF2 after structural relaxation at the PBE with a Hubbard U level of DFT.

## Properties
Spin magnetization in μB per cell: 2.64
Electronic total energy in eV/cell: -24.3

Cell: 4.2745 4.2745 4.2074 Å, 90.00 90.00 90.00°
Closest atoms and distances in Å follow each position.
Element x y z (fractional)
Cd (0.0000, 0.0000, 0.0000)  8 F 3.00, 4 O 3.02
Mo (0.5000, 0.5000, 0.5000)  2 O 2.10, 4 F 2.14
O (0.5000, 0.5000, 0.0000)  2 Mo 2.10
F (0.0000, 0.5000, 0.5000)  2 Mo 2.14
F (0.5000, 0.0000, 0.5000)  2 Mo 2.14